Computed, not measured: a geometry-optimized TbMnTcP2 structure at the GGA-PBE level of DFT.

## Properties
Raw total energy, eV/f.u.: -39.43
Energy relative to the elements, meV/atom: -889
Calculated volume, A^3/atom: 15.6

Lattice parameters (Å, degrees): 3.9976 3.9976 9.7593 90.00 90.00 90.00
Space group I-4m2 (No. 119)
Asymmetric unit:
Tb1 0.0000 0.0000 0.0000 [2 per cell]
Mn1 0.0000 0.5000 0.2500 [2 per cell]
Tc1 0.0000 0.5000 0.7500 [2 per cell]
P1 0.0000 0.0000 0.3712 [4 per cell]

Computed, not measured: a geometry-optimized MnTcP2 structure at the GGA-PBE level of DFT.

## Properties
Relative energy among the computed polymorphs, eV/f.u.: 2.956
Raw total energy, eV/f.u.: -29.31
Energy relative to the elements, meV/atom: 261
Calculated volume, A^3/atom: 13.3

Lattice parameters (Å, degrees): 5.9661 5.9661 5.9661 90.00 90.00 90.00
Space group F-43m (No. 216)
Asymmetric unit:
Mn1 0.0000 0.0000 0.0000 [4 per cell]
Tc1 0.2500 0.2500 0.2500 [4 per cell]
P1 0.0000 0.0000 0.5000 [4 per cell]
P2 0.2500 0.2500 0.7500 [4 per cell]

Computed, not measured: a geometry-optimized MnTcP2 structure at the GGA-PBE level of DFT.

## Properties
Relative energy among the computed polymorphs, eV/f.u.: 2.185
Raw total energy, eV/f.u.: -30.08
Energy relative to the elements, meV/atom: 68
Calculated volume, A^3/atom: 13.4

Lattice parameters (Å, degrees): 2.8966 4.9954 7.3811 90.00 90.00 90.00
Space group Cmmm (No. 65)
Asymmetric unit:
Mn1 0.0000 0.0000 0.0000 [2 per cell]
Tc1 0.0000 0.0000 0.5000 [2 per cell]
P1 0.0000 0.5000 0.2401 [4 per cell]

Computed, not measured: a geometry-optimized MnTc2P structure at the GGA-PBE level of DFT.

## Properties
Relative energy among the computed polymorphs, eV/f.u.: 0.397
Raw total energy, eV/f.u.: -36.06
Energy relative to the elements, meV/atom: -187
Calculated volume, A^3/atom: 13.1

Lattice parameters (Å, degrees): 8.7043 2.9015 4.3415 90.00 107.02 90.00
Space group Cm (No. 8)
Asymmetric unit:
Mn1 0.0000 0.0000 0.0000 [2 per cell]
Tc1 0.0197 0.5000 0.5264 [2 per cell]
Tc2 0.2487 0.5000 0.1393 [2 per cell]
P1 0.2592 0.0000 0.6722 [2 per cell]